(1)
Here is a relaxed structure of SrFeCo4 from Alexandria via LeMat-Bulk. Energies are from PBE-GGA.

Cell: 4.9880 4.9880 4.9880 Å, 60.00 60.00 60.00°
Last column: nearest neighbours and their distance in Å.
Positions (direct):
Sr1 0.0000 0.0000 0.0000  12 Co 2.93, 4 Fe 3.05
Fe1 0.2500 0.2500 0.2500  12 Co 2.92, 4 Sr 3.05
Co1 0.1302 0.6233 0.6233  6 Co 2.46-2.53
Co2 0.6233 0.1302 0.6233  6 Co 2.46-2.53
Co3 0.6233 0.6233 0.1302  6 Co 2.46-2.53
Co4 0.6233 0.6233 0.6233  6 Co 2.46-2.53

Output
**Crystal system**: cubic
**Space group**: F-43m
**Calculated formation energy**: 0.380 eV per atom



(2)
Here is a relaxed structure of SrFe2Co from Alexandria via LeMat-Bulk. Energies are from PBE-GGA.

Cell: 5.5853 5.5853 5.5853 Å, 149.46 127.80 61.69°
Last column: nearest neighbours and their distance in Å.
Positions (direct):
Sr1 0.0000 0.0000 0.0000  4 Co 2.86, 2 Sr 2.94, 8 Fe 3.14-3.20
Fe1 0.2958 0.7958 0.5000  2 Co 2.45
Fe2 0.7042 0.2042 0.5000  2 Co 2.45
Co1 0.5000 0.5000 0.0000  4 Fe 2.45

Output
**Crystal system**: orthorhombic
**Space group**: Immm
**Calculated formation energy**: 0.656 eV per atom



(3)
Here is a relaxed structure of SrFe2Co from Alexandria via LeMat-Bulk. Energies are from PBE-GGA.

Cell: 5.2497 5.2497 2.7271 Å, 90.00 90.00 119.61°
Last column: nearest neighbours and their distance in Å.
Positions (direct):
Sr1 0.0000 0.0000 0.0000  2 Co 2.64, 2 Sr 2.73
Fe1 0.0000 0.5000 0.5000  4 Fe 2.64-2.73
Fe2 0.5000 0.0000 0.5000  4 Fe 2.64-2.73
Co1 0.5000 0.5000 0.0000  2 Sr 2.64, 2 Co 2.73

Output
**Crystal system**: orthorhombic
**Space group**: Cmmm
**Calculated formation energy**: 0.943 eV per atom



(4)
Here is a relaxed structure of SrFe2Co from Alexandria via LeMat-Bulk. Energies are from PBE-GGA.

Cell: 3.9784 6.3291 6.3291 Å, 28.10 90.00 90.00°
Last column: nearest neighbours and their distance in Å.
Positions (direct):
Sr1 0.0000 0.0000 0.0000  1 Fe 3.05, 2 Sr 3.07, 4 Co 3.13
Fe1 0.0000 0.7516 0.7516  2 Co 2.33, 4 Fe 2.57
Fe2 0.5000 0.2969 0.2969  2 Co 2.35, 4 Fe 2.57
Co1 0.5000 0.6521 0.6521  4 Fe 2.33-2.35

Output
**Crystal system**: orthorhombic
**Space group**: Amm2
**Calculated formation energy**: 0.518 eV per atom



(5)
Here is a relaxed structure of SrFeCo from Alexandria via LeMat-Bulk. Energies are from PBE-GGA.

Cell: 3.9250 3.9250 4.7743 Å, 90.00 90.00 120.00°
Last column: nearest neighbours and their distance in Å.
Positions (direct):
Sr1 0.0000 0.0000 0.0000  6 Co 3.29, 6 Fe 3.29
Fe1 0.3333 0.6667 0.5000  3 Co 2.27
Co1 0.6667 0.3333 0.5000  3 Fe 2.27

Output
**Crystal system**: hexagonal
**Excess energy over the best structure of this formula in the dataset**: 0.0000 eV/atom
**Space group**: P-6m2
**Calculated formation energy**: 0.388 eV per atom



(6)
Here is a relaxed structure of SrFe2Co from Alexandria via LeMat-Bulk. Energies are from PBE-GGA.

Cell: 5.4813 5.4813 5.4813 Å, 148.24 127.09 63.04°
Last column: nearest neighbours and their distance in Å.
Positions (direct):
Sr1 0.0000 0.0000 0.0000  8 Fe 2.88-3.12, 2 Sr 3.00, 4 Co 3.01-3.20
Fe1 0.4745 0.4745 0.0000  2 Co 2.36, 2 Fe 2.64
Fe2 0.7070 0.2070 0.5000  2 Fe 2.64, 4 Co 2.94
Co1 0.2795 0.7795 0.5000  2 Fe 2.36

Output
**Crystal system**: orthorhombic
**Space group**: Imm2
**Calculated formation energy**: 0.740 eV per atom



(7)
Here is a relaxed structure of Sr2FeCo2 from Alexandria via LeMat-Bulk. Energies are from PBE-GGA.

Cell: 6.6071 6.6071 4.7799 Å, 90.00 90.00 90.00°
Last column: nearest neighbours and their distance in Å.
Positions (direct):
Sr1 0.1829 0.3171 0.0000  6 Co 2.99-3.16
Sr2 0.3171 0.8171 0.0000  6 Co 2.99-3.16
Sr3 0.6829 0.1829 0.0000  6 Co 2.99-3.16
Sr4 0.8171 0.6829 0.0000  6 Co 2.99-3.16
Fe1 0.0000 0.0000 0.5000  4 Co 2.61
Fe2 0.5000 0.5000 0.5000  4 Co 2.61
Co1 0.1246 0.6246 0.5000  1 Co 2.33
Co2 0.3754 0.1246 0.5000  1 Co 2.33
Co3 0.6246 0.8754 0.5000  1 Co 2.33
Co4 0.8754 0.3754 0.5000  1 Co 2.33

Output
**Crystal system**: tetragonal
**Space group**: P4/mbm
**Calculated formation energy**: 0.504 eV per atom



(8)
Here is a relaxed structure of Sr2Fe2Co from Alexandria via LeMat-Bulk. Energies are from PBE-GGA.

Cell: 9.8396 9.8396 9.8396 Å, 159.95 159.95 28.51°
Last column: nearest neighbours and their distance in Å.
Positions (direct):
Sr1 0.0999 0.0999 0.0000  4 Co 3.08, 4 Fe 3.34, 4 Sr 3.43
Sr2 0.9001 0.9001 0.0000  4 Co 3.08, 4 Fe 3.34, 4 Sr 3.43
Fe1 0.2500 0.7500 0.5000  4 Fe 2.42
Fe2 0.7500 0.2500 0.5000  4 Fe 2.42
Co1 0.5000 0.5000 0.0000  8 Sr 3.08, 4 Co 3.43

Output
**Crystal system**: tetragonal
**Space group**: I4/mmm
**Calculated formation energy**: 0.679 eV per atom



(9)
Here is a relaxed structure of SrFeCo2 from Alexandria via LeMat-Bulk. Energies are from PBE-GGA.

Cell: 3.2332 4.3433 4.6284 Å, 90.00 90.00 90.00°
Last column: nearest neighbours and their distance in Å.
Positions (direct):
Sr1 0.0000 0.0000 0.0000  4 Co 2.71, 4 Fe 2.82
Fe1 0.5000 0.0000 0.5000  4 Co 2.71, 4 Sr 2.82
Co1 0.0000 0.5000 0.5000  4 Fe 2.71, 4 Co 2.82
Co2 0.5000 0.5000 0.0000  4 Sr 2.71, 4 Co 2.82

Output
**Crystal system**: orthorhombic
**Excess energy over the best structure of this formula in the dataset**: 0.6886 eV/atom
**Space group**: Pmmm
**Calculated formation energy**: 0.880 eV per atom



(10)
Here is a relaxed structure of SrFeCo2 from Alexandria via LeMat-Bulk. Energies are from PBE-GGA.

Cell: 4.4853 4.4853 3.1973 Å, 90.00 90.00 90.00°
Last column: nearest neighbours and their distance in Å.
Positions (direct):
Sr1 0.0000 0.0000 0.0000  8 Co 2.75
Fe1 0.5000 0.5000 0.0000  8 Co 2.75
Co1 0.0000 0.5000 0.5000  4 Fe 2.75, 4 Sr 2.75
Co2 0.5000 0.0000 0.5000  4 Fe 2.75, 4 Sr 2.75

Output
**Crystal system**: tetragonal
**Excess energy over the best structure of this formula in the dataset**: 0.5738 eV/atom
**Space group**: P4/mmm
**Calculated formation energy**: 0.765 eV per atom



(11)
Here is a relaxed structure of SrFe2Co from Alexandria via LeMat-Bulk. Energies are from PBE-GGA.

Cell: 3.2402 4.4174 4.5897 Å, 90.00 90.00 90.00°
Last column: nearest neighbours and their distance in Å.
Positions (direct):
Sr1 0.0000 0.0000 0.0000  4 Co 2.74, 4 Fe 2.81
Fe1 0.0000 0.5000 0.5000  4 Fe 2.74, 4 Co 2.81
Fe2 0.5000 0.0000 0.5000  4 Fe 2.74, 4 Sr 2.81
Co1 0.5000 0.5000 0.0000  4 Sr 2.74, 4 Fe 2.81

Output
**Crystal system**: orthorhombic
**Space group**: Pmmm
**Calculated formation energy**: 0.852 eV per atom



(12)
Here is a relaxed structure of SrFeCo2 from Alexandria via LeMat-Bulk. Energies are from PBE-GGA.

Cell: 5.8537 5.8537 5.8537 Å, 40.48 40.48 40.48°
Last column: nearest neighbours and their distance in Å.
Positions (direct):
Sr1 0.0000 0.0000 0.0000  8 Co 3.02-3.31
Fe1 0.5000 0.5000 0.5000  6 Co 2.36
Co1 0.1875 0.1875 0.1875  3 Fe 2.36, 3 Co 2.43
Co2 0.8125 0.8125 0.8125  3 Fe 2.36, 3 Co 2.43

Output
**Crystal system**: trigonal
**Excess energy over the best structure of this formula in the dataset**: 0.0000 eV/atom
**Space group**: R-3m
**Calculated formation energy**: 0.192 eV per atom



(13)
Here is a relaxed structure of SrFe2Co from Alexandria via LeMat-Bulk. Energies are from PBE-GGA.

Cell: 8.3513 8.3513 8.3513 Å, 148.55 148.55 45.07°
Last column: nearest neighbours and their distance in Å.
Positions (direct):
Sr1 0.3750 0.6250 0.7500  8 Fe 3.18, 4 Co 3.20
Sr2 0.6250 0.3750 0.2500  8 Fe 3.18, 4 Co 3.20
Fe1 0.0000 0.0000 0.0000  2 Co 2.24, 2 Fe 2.26
Fe2 0.0000 0.0000 0.5000  2 Co 2.24, 2 Fe 2.26
Fe3 0.0000 0.5000 0.0000  2 Co 2.24, 2 Fe 2.26
Fe4 0.5000 0.0000 0.5000  2 Co 2.24, 2 Fe 2.26
Co1 0.1250 0.8750 0.2500  4 Fe 2.24
Co2 0.8750 0.1250 0.7500  4 Fe 2.24

Output
**Crystal system**: tetragonal
**Space group**: I4_1/amd
**Calculated formation energy**: 0.866 eV per atom



(14)
Here is a relaxed structure of SrFeCo2 from Alexandria via LeMat-Bulk. Energies are from PBE-GGA.

Cell: 3.1361 3.1361 7.0034 Å, 90.00 90.00 90.00°
Last column: nearest neighbours and their distance in Å.
Positions (direct):
Sr1 0.0000 0.0000 0.0000  4 Sr 3.14, 5 Co 3.20-3.42, 4 Fe 3.30
Fe1 0.5000 0.5000 0.6517  5 Co 2.26-2.49
Co1 0.0000 0.0000 0.4887  4 Co 2.48, 4 Fe 2.49
Co2 0.5000 0.5000 0.3291  1 Fe 2.26, 4 Co 2.48

Output
**Crystal system**: tetragonal
**Excess energy over the best structure of this formula in the dataset**: 0.2918 eV/atom
**Space group**: P4mm
**Calculated formation energy**: 0.483 eV per atom



(15)
Here is a relaxed structure of SrFe2Co from Alexandria via LeMat-Bulk. Energies are from PBE-GGA.

Cell: 4.5362 4.5362 4.5362 Å, 119.91 119.91 90.16°
Last column: nearest neighbours and their distance in Å.
Positions (direct):
Sr1 0.0000 0.0000 0.0000  4 Fe 2.78, 4 Co 2.78
Fe1 0.5000 0.5000 0.0000  4 Fe 2.78, 4 Co 2.78
Fe2 0.7500 0.2500 0.5000  4 Fe 2.78, 4 Sr 2.78
Co1 0.2500 0.7500 0.5000  4 Fe 2.78, 4 Sr 2.78

Output
**Crystal system**: tetragonal
**Space group**: I-4m2
**Calculated formation energy**: 0.809 eV per atom



(16)
Here is a relaxed structure of SrFe2Co from Alexandria via LeMat-Bulk. Energies are from PBE-GGA.

Cell: 5.3266 5.3266 2.7946 Å, 100.49 100.49 119.45°
Last column: nearest neighbours and their distance in Å.
Positions (direct):
Sr1 0.0000 0.0000 0.0000  2 Co 2.69, 4 Fe 2.77, 2 Sr 2.79
Fe1 0.0000 0.5000 0.5000  4 Fe 2.69-2.79, 2 Co 2.77, 2 Sr 2.77
Fe2 0.5000 0.0000 0.5000  4 Fe 2.69-2.79, 2 Co 2.77, 2 Sr 2.77
Co1 0.5000 0.5000 0.0000  2 Sr 2.69, 4 Fe 2.77, 2 Co 2.79

Output
**Crystal system**: monoclinic
**Space group**: C2/m
**Calculated formation energy**: 0.888 eV per atom



(17)
Here is a relaxed structure of SrFeCo2 from Alexandria via LeMat-Bulk. Energies are from PBE-GGA.

Cell: 5.1504 5.1504 5.1504 Å, 135.40 135.40 64.91°
Last column: nearest neighbours and their distance in Å.
Positions (direct):
Sr1 0.0000 0.0000 0.0000  8 Co 2.76-2.92, 4 Fe 2.92
Fe1 0.7500 0.2500 0.5000  8 Co 2.76-2.92, 4 Sr 2.92
Co1 0.2500 0.7500 0.5000  4 Fe 2.76, 4 Co 2.92, 4 Sr 2.92
Co2 0.5000 0.5000 0.0000  4 Sr 2.76, 4 Fe 2.92, 4 Co 2.92

Output
**Crystal system**: tetragonal
**Excess energy over the best structure of this formula in the dataset**: 0.6671 eV/atom
**Space group**: I-4m2
**Calculated formation energy**: 0.859 eV per atom



(18)
Here is a relaxed structure of SrFeCo from Alexandria via LeMat-Bulk. Energies are from PBE-GGA.

Cell: 5.9253 5.9253 5.9253 Å, 147.90 147.76 46.14°
Last column: nearest neighbours and their distance in Å.
Positions (direct):
Sr1 0.0000 0.0000 0.0000  5 Fe 3.03-3.36, 5 Co 3.03-3.35, 4 Sr 3.28-3.29
Fe1 0.7222 0.7222 0.0000  4 Co 2.40
Co1 0.2783 0.2783 0.0000  4 Fe 2.40

Output
**Crystal system**: orthorhombic
**Excess energy over the best structure of this formula in the dataset**: 0.0539 eV/atom
**Space group**: Imm2
**Calculated formation energy**: 0.442 eV per atom



(19)
Here is a relaxed structure of SrFeCo from Alexandria via LeMat-Bulk. Energies are from PBE-GGA.

Cell: 4.5298 4.5298 4.5298 Å, 60.00 60.00 60.00°
Last column: nearest neighbours and their distance in Å.
Positions (direct):
Sr1 0.0000 0.0000 0.0000  4 Co 2.77
Fe1 0.5000 0.5000 0.5000  4 Co 2.77
Co1 0.7500 0.7500 0.7500  4 Fe 2.77, 4 Sr 2.77

Output
**Crystal system**: cubic
**Excess energy over the best structure of this formula in the dataset**: 0.4572 eV/atom
**Space group**: F-43m
**Calculated formation energy**: 0.846 eV per atom



(20)
Here is a relaxed structure of SrFe2Co from Alexandria via LeMat-Bulk. Energies are from PBE-GGA.

Cell: 4.0897 4.0897 5.9542 Å, 110.20 110.20 60.03°
Last column: nearest neighbours and their distance in Å.
Positions (direct):
Sr1 0.0000 0.0000 0.0000  8 Fe 3.15-3.31
Fe1 0.1923 0.1923 0.5767  3 Co 2.40, 3 Fe 2.50-2.51
Fe2 0.8077 0.8077 0.4233  3 Co 2.40, 3 Fe 2.50-2.51
Co1 0.5000 0.5000 0.5000  6 Fe 2.40

Output
**Crystal system**: monoclinic
**Space group**: C2/m
**Calculated formation energy**: 0.273 eV per atom